CrFe2WO6: optimized geometry, PBE with a Hubbard U.

Geometry as extended XYZ:
```
10
Lattice="5.2881 -0.0035 -0.0480 2.6416 4.5429 -0.0499 2.5989 1.4847 4.6403" Properties=species:S:1:pos:R:3 pbc="T T T"
O 7.2716 3.0322 1.1572
O 4.1978 4.7092 1.1280
O 5.9488 1.5548 3.5826
Fe 2.6056 1.4574 4.2682
O 3.6491 3.1457 3.5298
W 2.6427 1.5386 0.1555
O 4.3527 1.3370 1.2243
Cr 7.9159 4.5285 2.4422
O 6.1804 4.2602 3.4299
Fe 5.2349 3.0433 1.8981
```

## Properties
Raw total energy in eV per formula unit: -73.03